DySiNiC (GGA-PBE, optimized geometry); M_tot = 0.0 Bohr magnetons per cell; crystal system = tetragonal; formation energy (no corrections) = -552 meV/atom
1.0
3.658 0.000 0.000
0.000 3.658 0.000
0.000 0.000 8.667
Dy Si Ni C
2 2 2 2
Cartesian
0.000 1.829 7.420 Dy
1.829 0.000 1.247 Dy
0.000 1.829 2.934 Si
1.829 0.000 5.733 Si
0.000 0.000 4.333 Ni
1.829 1.829 4.333 Ni
1.829 0.000 7.528 C
0.000 1.829 1.139 C


DyNpC2 (GGA-PBE, optimized geometry); M_tot = 1.9 Bohr magnetons per cell; crystal system = trigonal; formation energy from the elements = -67 meV per atom
1.0
-0.412 -2.987 1.888
1.757 -2.949 -0.932
4.801 -0.450 3.688
Np C Dy
1 2 1
Cartesian
0.000 0.000 0.000 Np
4.767 -4.734 3.605 C
1.379 -1.652 1.039 C
3.073 -3.193 2.322 Dy


Dy2NpPaC4 (GGA-PBE, optimized geometry); M_tot = 1.7 Bohr magnetons per cell; crystal system = monoclinic; formation energy from the elements = -232 meV per atom
1.0
3.605 0.000 0.000
0.000 6.117 -0.096
0.000 2.176 5.829
Dy Np Pa C
2 1 1 4
Cartesian
0.000 2.176 5.829 Dy
1.803 1.088 2.914 Dy
1.803 3.058 -0.048 Np
0.000 4.146 2.866 Pa
0.000 6.068 4.403 C
3.605 2.225 1.329 C
1.803 4.935 1.370 C
1.803 3.358 4.363 C


DyNpPa2C4 (GGA-PBE, optimized geometry); M_tot = 3.1 Bohr magnetons per cell; crystal system = monoclinic; formation energy from the elements = -250 meV per atom
1.0
-0.476 -3.529 -0.519
3.431 0.291 -5.115
5.967 -1.016 1.441
Dy Np Pa C
1 1 2 4
Cartesian
4.699 -0.363 -1.837 Dy
7.445 -2.635 -1.376 Np
5.967 -1.016 1.441 Pa
2.746 -2.272 0.461 Pa
7.085 -0.542 -2.805 C
1.838 -3.712 -1.389 C
3.749 -1.780 -3.805 C
5.174 -2.475 -0.389 C


Dy2NpUC4 (GGA-PBE, optimized geometry); M_tot = 2.1 Bohr magnetons per cell; crystal system = monoclinic; formation energy from the elements = -170 meV per atom
1.0
-0.627 -1.390 -3.237
0.652 -5.559 2.261
-5.487 -2.074 1.953
Dy Np U C
2 1 1 4
Cartesian
-5.487 -2.074 1.953 Dy
-3.057 -1.732 -0.642 Dy
0.013 -3.475 -0.488 Np
-2.417 -3.817 2.107 U
-3.688 -5.542 3.094 C
-1.773 -3.482 -2.117 C
-1.278 -5.186 0.497 C
-4.183 -3.838 0.481 C


DyCO4 (GGA-PBE, optimized geometry); M_tot = 2.0 Bohr magnetons per cell; crystal system = monoclinic; excess energy over the best structure of this formula in the dataset = 0.038 eV/atom; formation energy (no corrections) = -2025 meV/atom
1.0
-2.230 3.053 2.469
1.817 -3.667 4.865
5.646 3.621 0.621
Dy C O
2 2 8
Cartesian
5.357 0.396 3.793 Dy
-0.124 2.612 4.163 Dy
4.483 2.131 1.619 C
0.750 0.876 6.337 C
4.195 2.017 4.899 O
1.038 0.990 3.057 O
4.015 2.994 0.833 O
1.217 0.013 7.123 O
-0.429 0.776 5.775 O
3.829 1.055 1.979 O
1.404 1.952 5.977 O
5.662 2.231 2.180 O